VASP calculation (PBE with a Hubbard U) on crystalline ZrCoO3 at its relaxed geometry.

Cell: 5.599 5.599 5.599 Å, 57.19 57.19 57.19°
Positions (direct):
Zr1 0.140 0.140 0.140
Zr2 0.860 0.860 0.860
Co1 0.356 0.356 0.356
Co2 0.644 0.644 0.644
O1 0.049 0.451 0.752
O2 0.248 0.951 0.549
O3 0.451 0.752 0.049
O4 0.549 0.248 0.951
O5 0.752 0.049 0.451
O6 0.951 0.549 0.248

SG: R-3, No. 148
VASP energy: -8.030 eV/atom
ρ: 5.67 Mg/m³